Density functional theory data (PBE) for crystalline Np3Ga8Ni3 at its relaxed geometry.

a b c (Å): 8.0180 8.0180 8.4125
angles (deg): 121.32 121.32 32.23
Last column: nearest neighbours and their distance in Å.
Positions (direct):
Np: 0.0000 0.0000 0.0000  8 Ga 3.09-3.11, 4 Ni 3.31
Np: 0.2791 0.2791 0.2843  11 Ga 2.98-3.27, 3 Ni 3.00-3.06
Np: 0.7209 0.7209 0.7157  11 Ga 2.98-3.27, 3 Ni 3.00-3.06
Ga: 0.1383 0.1383 0.4361  1 Ni 2.46, 2 Ga 2.66
Ga: 0.1456 0.1456 0.8520  4 Ni 2.49-2.57
Ga: 0.3532 0.3532 0.7288  1 Ni 2.41, 3 Ga 2.66-2.67
Ga: 0.4923 0.4923 0.3282  3 Ni 2.45-2.62, 1 Ga 2.67
Ga: 0.5077 0.5077 0.6718  3 Ni 2.45-2.62, 1 Ga 2.67
Ga: 0.6468 0.6468 0.2712  1 Ni 2.41, 3 Ga 2.66-2.67
Ga: 0.8544 0.8544 0.1480  4 Ni 2.49-2.57
Ga: 0.8617 0.8617 0.5639  1 Ni 2.46, 2 Ga 2.66
Ni: 0.0000 0.0000 0.5000  8 Ga 2.46-2.62
Ni: 0.3415 0.3415 0.0028  5 Ga 2.41-2.56
Ni: 0.6585 0.6585 0.9972  5 Ga 2.41-2.56

Calculated values
total energy	-5.97	eV per atom
total magnetization	12.13	μB/cell